# 1
The following is a DFT calculation (GGA-PBE) of crystalline LaZnP4 at its relaxed geometry.

## Properties
Formation energy = -149 meV per atom
DOS(E_F) = 4.3 states/eV/f.u.
E = -4.79 eV/atom

Cell: 5.4137 5.4137 5.4137 Å, 60.00 60.00 60.00°
Atoms (fractional coordinates):
Zn 0.7500 0.7500 0.7500
P 0.3894 0.3894 0.3894
P 0.3894 0.3894 0.8319
P 0.8319 0.3894 0.3894
P 0.3894 0.8319 0.3894
La 0.0000 0.0000 0.0000



# 2
The following is a DFT calculation (GGA-PBE) of crystalline NaPdN at its relaxed geometry.

## Properties
DOS(E_F) = 0.2 states/eV/f.u.
E = -4.66 eV/atom
Offset from the most stable computed form = 0 meV/atom
Uncorrected formation energy = 0.289 eV per atom

Cell: 3.6771 6.2434 8.9548 Å, 90.00 90.00 90.00°
Atoms (fractional coordinates):
Na 0.2500 0.0741 0.6669
Na 0.7500 0.9259 0.3331
Na 0.7500 0.5741 0.8331
Na 0.2500 0.4259 0.1669
Pd 0.7500 0.1354 0.9530
Pd 0.7500 0.3646 0.4530
Pd 0.2500 0.8646 0.0470
Pd 0.2500 0.6354 0.5470
N 0.2500 0.2274 0.9239
N 0.7500 0.7274 0.5761
N 0.7500 0.7726 0.0761
N 0.2500 0.2726 0.4239



# 3
The following is a DFT calculation (GGA-PBE) of crystalline Nd9Sm4Zn11 at its relaxed geometry.

## Properties
Formation energy = -232 meV per atom
DOS(E_F) = 22.0 states/eV/f.u.
E = -3.39 eV/atom

Cell: 3.5729 13.4694 13.4694 Å, 109.75 90.00 90.00°
Atoms (fractional coordinates):
Zn 0.0000 0.1716 0.8284
Zn 0.0000 0.2356 0.2356
Zn 0.0000 0.7644 0.7644
Zn 0.0000 0.6345 0.3655
Zn 0.0000 0.4157 0.0561
Zn 0.0000 0.0000 0.0000
Zn 0.0000 0.8284 0.1716
Zn 0.0000 0.0561 0.4157
Zn 0.0000 0.3655 0.6345
Zn 0.0000 0.5843 0.9439
Zn 0.0000 0.9439 0.5843
Nd 0.5000 0.9703 0.7941
Nd 0.5000 0.8561 0.3766
Nd 0.5000 0.5000 0.5000
Nd 0.5000 0.6234 0.1439
Nd 0.5000 0.2059 0.0297
Nd 0.5000 0.1439 0.6234
Nd 0.5000 0.0297 0.2059
Nd 0.5000 0.3766 0.8561
Nd 0.5000 0.7941 0.9703
Sm 0.5000 0.5693 0.7504
Sm 0.5000 0.7504 0.5693
Sm 0.5000 0.2496 0.4307
Sm 0.5000 0.4307 0.2496



# 4
The following is a DFT calculation (GGA-PBE) of crystalline SrPr4Y3Te8 at its relaxed geometry.

## Properties
DOS(E_F) = 9.9 states/eV/f.u.
E = -5.49 eV/atom
Uncorrected formation energy = -1.411 eV per atom

Cell: 8.9124 9.0459 8.9124 Å, 119.51 120.00 90.00°
Atoms (fractional coordinates):
Y 0.0000 0.5000 0.5000
Y 0.5000 0.5000 0.0000
Y 0.5000 0.5000 0.5000
Sr 0.0000 0.5000 0.0000
Te 0.2508 0.7412 0.5015
Te 0.2547 0.2640 0.5093
Te 0.2508 0.7412 0.9905
Te 0.7492 0.2588 0.4985
Te 0.2603 0.2588 0.0095
Te 0.7492 0.2588 0.0095
Te 0.7453 0.7360 0.4907
Te 0.7397 0.7412 0.9905
Pr 0.5000 0.0000 0.0000
Pr 0.0000 0.0000 0.0000
Pr 0.5000 0.0000 0.5000
Pr 0.0000 0.0000 0.5000



# 5
The following is a DFT calculation (GGA-PBE) of crystalline Ca5Al3 at its relaxed geometry.

## Properties
Formation energy = -124 meV per atom
DOS(E_F) = 7.4 states/eV/f.u.
E = -2.78 eV/atom
Offset from the most stable computed form = 0 meV/atom

Cell: 9.3821 9.3821 9.3971 Å, 95.83 95.83 142.87°
Atoms (fractional coordinates):
Ca 0.7831 0.0833 0.8665
Ca 0.7159 0.5831 0.2994
Ca 0.2832 0.4169 0.7006
Ca 0.2494 0.7498 0.4994
Ca 0.5828 0.2835 0.8665
Ca 0.7498 0.2502 0.5006
Ca 0.0827 0.2164 0.2994
Ca 0.2161 0.9168 0.1335
Ca 0.9165 0.7836 0.7006
Ca 0.4164 0.7165 0.1335
Al 0.8374 0.3378 0.1788
Al 0.3387 0.1608 0.5000
Al 0.2496 0.2499 0.0000
Al 0.1619 0.6623 0.8212
Al 0.6604 0.8391 0.5000
Al 0.7495 0.7500 0.0000



# 6
The following is a DFT calculation (GGA-PBE) of crystalline LiHg12Pb16 at its relaxed geometry.

## Properties
Formation energy = 11 meV per atom
DOS(E_F) = 10.3 states/eV/f.u.
E = -2.23 eV/atom

Cell: 10.3802 10.3802 10.2317 Å, 110.07 110.07 110.34°
Atoms (fractional coordinates):
Pb 0.3003 0.7306 0.3102
Pb 0.7306 0.3003 0.3102
Pb 0.9973 0.6906 0.4094
Pb 0.0275 0.0275 0.6740
Pb 0.9837 0.6476 0.9726
Pb 0.3974 0.0137 0.6882
Pb 0.3448 0.3448 0.3664
Pb 0.3964 0.7011 0.0078
Pb 0.6476 0.9837 0.9726
Pb 0.6906 0.9973 0.4094
Pb 0.9923 0.9923 0.9910
Pb 0.6168 0.2944 0.6109
Pb 0.0137 0.3974 0.6882
Pb 0.2944 0.6168 0.6109
Pb 0.3385 0.3385 0.7202
Pb 0.7011 0.3964 0.0078
Hg 0.3893 0.2127 0.0271
Hg 0.6525 0.6525 0.8233
Hg 0.7582 0.7582 0.1843
Hg 0.7934 0.6168 0.5850
Hg 0.8221 0.1745 0.8175
Hg 0.2127 0.3893 0.0271
Hg 0.9839 0.1600 0.3524
Hg 0.1745 0.8221 0.8175
Hg 0.1600 0.9839 0.3524
Hg 0.0168 0.3766 0.2041
Hg 0.6168 0.7934 0.5850
Hg 0.3766 0.0168 0.2041
Li 0.5700 0.5700 0.2704



# 7
The following is a DFT calculation (GGA-PBE) of crystalline RuPbAu at its relaxed geometry.

## Properties
Formation energy = 534 meV per atom
DOS(E_F) = 2.4 states/eV/f.u.
E = -4.89 eV/atom
Offset from the most stable computed form = 100 meV/atom

Cell: 4.5150 4.5150 3.2952 Å, 90.00 90.00 120.00°
Atoms (fractional coordinates):
Pb 0.6667 0.3333 0.3651
Au 0.0000 0.0000 0.0094
Ru 0.3333 0.6667 0.6255



# 8
The following is a DFT calculation (GGA-PBE) of crystalline Ho2Tl2OsO6 at its relaxed geometry.

## Properties
DOS(E_F) = 4.1 states/eV/f.u.
E = -6.88 eV/atom
Uncorrected formation energy = -1.893 eV per atom

Cell: 5.7811 5.7811 7.1020 Å, 92.91 92.91 120.48°
Atoms (fractional coordinates):
O 0.3209 0.0146 0.6476
O 0.0146 0.3209 0.6476
O 0.9854 0.6791 0.3524
O 0.2814 0.2814 0.3509
O 0.6791 0.9854 0.3524
O 0.7186 0.7186 0.6491
Tl 0.8431 0.1569 0.0000
Tl 0.1569 0.8431 0.0000
Os 0.0000 0.0000 0.5000
Ho 0.3352 0.6648 0.5000
Ho 0.6648 0.3352 0.5000



# 9
The following is a DFT calculation (GGA-PBE) of crystalline CsNiAsAu at its relaxed geometry.

## Properties
Formation energy = -311 meV per atom
DOS(E_F) = 2.2 states/eV/f.u.
E = -3.95 eV/atom

Cell: 4.0176 4.0176 13.1890 Å, 90.00 90.00 90.00°
Atoms (fractional coordinates):
Cs 0.2500 0.2500 0.7344
Cs 0.7500 0.7500 0.2656
As 0.2500 0.2500 0.0898
As 0.7500 0.7500 0.9102
Au 0.7500 0.2500 0.5000
Au 0.2500 0.7500 0.5000
Ni 0.2500 0.7500 0.0000
Ni 0.7500 0.2500 0.0000



# 10
The following is a DFT calculation (GGA-PBE) of crystalline TlZnFe2Cl8 at its relaxed geometry.

## Properties
DOS(E_F) = 8.2 states/eV/f.u.
E = -3.82 eV/atom
Uncorrected formation energy = -0.870 eV per atom

Cell: 6.2886 6.2886 9.3126 Å, 85.56 85.56 69.39°
Atoms (fractional coordinates):
Cl 0.7642 0.7642 0.0095
Cl 0.2358 0.2358 0.9905
Cl 0.7457 0.2360 0.1978
Cl 0.7640 0.2543 0.8022
Cl 0.2360 0.7457 0.1978
Cl 0.2543 0.7640 0.8022
Cl 0.3052 0.3052 0.5760
Cl 0.6948 0.6948 0.4240
Zn 0.0000 0.0000 0.0000
Fe 0.3775 0.3775 0.7913
Fe 0.6225 0.6225 0.2087
Tl 0.0000 0.0000 0.5000



# 11
The following is a DFT calculation (GGA-PBE) of crystalline V2Pd2Pt at its relaxed geometry.

## Properties
Formation energy = -30 meV per atom
DOS(E_F) = 5.1 states/eV/f.u.
E = -6.96 eV/atom
Offset from the most stable computed form = 294 meV/atom

Cell: 7.3353 7.3353 2.7866 Å, 90.00 90.00 90.00°
Atoms (fractional coordinates):
V 0.6136 0.1136 0.0000
V 0.8864 0.6136 0.0000
V 0.1136 0.3864 0.0000
V 0.3864 0.8864 0.0000
Pd 0.8208 0.3208 0.5000
Pd 0.1792 0.6792 0.5000
Pd 0.3208 0.1792 0.5000
Pd 0.6792 0.8208 0.5000
Pt 0.5000 0.5000 0.0000
Pt 0.0000 0.0000 0.0000



# 12
The following is a DFT calculation (GGA-PBE) of crystalline RbNaSrCd2 at its relaxed geometry.

## Properties
Formation energy = 405 meV per atom
DOS(E_F) = 3.2 states/eV/f.u.
E = -0.75 eV/atom

Cell: 6.3421 6.0180 6.3421 Å, 90.00 90.00 90.00°
Atoms (fractional coordinates):
Cd 0.5000 0.0000 0.0000
Cd 0.0000 0.0000 0.5000
Na 0.0000 0.5000 0.0000
Sr 0.5000 0.5000 0.5000
Rb 0.0000 0.0000 0.0000



# 13
The following is a DFT calculation (GGA-PBE) of crystalline Mg3Rh at its relaxed geometry.

## Properties
Formation energy = 52 meV per atom
DOS(E_F) = 1.3 states/eV/f.u.
E = -2.98 eV/atom

Cell: 4.9997 4.9997 4.9997 Å, 90.00 90.00 90.00°
Atoms (fractional coordinates):
Mg 0.5000 0.0000 0.0000
Mg 0.0000 0.0000 0.5000
Mg 0.0000 0.5000 0.0000
Rh 0.0000 0.0000 0.0000



# 14
The following is a DFT calculation (GGA-PBE) of crystalline SrCrIr2 at its relaxed geometry.

## Properties
Formation energy = 581 meV per atom
DOS(E_F) = 4.0 states/eV/f.u.
E = -6.68 eV/atom
Offset from the most stable computed form = 556 meV/atom

Cell: 5.1022 5.1022 5.1022 Å, 131.31 131.31 71.33°
Atoms (fractional coordinates):
Cr 0.7500 0.2500 0.5000
Ir 0.2500 0.7500 0.5000
Ir 0.0000 0.0000 0.0000
Sr 0.5000 0.5000 0.0000



# 15
The following is a DFT calculation (GGA-PBE) of crystalline FeBP3 at its relaxed geometry.

## Properties
Formation energy = 1267 meV per atom
DOS(E_F) = 4.8 states/eV/f.u.
E = -5.01 eV/atom
Offset from the most stable computed form = 250 meV/atom

Cell: 4.2812 4.2812 4.2812 Å, 90.00 90.00 90.00°
Atoms (fractional coordinates):
Fe 0.0000 0.0000 0.0000
P 0.0000 0.0000 0.5000
P 0.5000 0.0000 0.0000
P 0.0000 0.5000 0.0000
B 0.5000 0.5000 0.5000



# 16
The following is a DFT calculation (GGA-PBE) of crystalline Ga2AgPd at its relaxed geometry.

## Properties
Formation energy = -243 meV per atom
DOS(E_F) = 1.0 states/eV/f.u.
E = -3.77 eV/atom
Offset from the most stable computed form = 9 meV/atom

Cell: 4.2307 4.2307 5.2433 Å, 66.21 66.21 60.00°
Atoms (fractional coordinates):
Ga 0.2671 0.2671 0.1987
Ga 0.0650 0.0650 0.8051
Pd 0.6827 0.6827 0.9518
Ag 0.4852 0.4852 0.5444



# 17
The following is a DFT calculation (GGA-PBE) of crystalline Zr5Sc6 at its relaxed geometry.

## Properties
Formation energy = 97 meV per atom
DOS(E_F) = 16.0 states/eV/f.u.
E = -7.24 eV/atom
Offset from the most stable computed form = 0 meV/atom

Cell: 9.3076 7.6026 5.4296 Å, 72.52 60.62 52.26°
Atoms (fractional coordinates):
Sc 0.1795 0.0000 0.4186
Sc 0.6782 0.2763 0.0967
Sc 0.3218 0.7237 0.9033
Sc 0.9545 0.7237 0.0967
Sc 0.0455 0.2763 0.9033
Sc 0.8205 0.0000 0.5814
Zr 0.5000 0.0000 0.5000
Zr 0.3703 0.2594 0.0000
Zr 0.6297 0.7406 0.0000
Zr 0.7630 0.4739 0.5000
Zr 0.2370 0.5261 0.5000



# 18
The following is a DFT calculation (GGA-PBE) of crystalline K4HfTh3Se8 at its relaxed geometry.

## Properties
DOS(E_F) = 10.0 states/eV/f.u.
E = -5.49 eV/atom
Uncorrected formation energy = -1.461 eV per atom

Cell: 8.2855 9.2321 8.2837 Å, 116.65 120.01 90.00°
Atoms (fractional coordinates):
Se 0.2430 0.2904 0.0166
Se 0.2585 0.2757 0.5170
Se 0.7737 0.2904 0.5473
Se 0.2263 0.7096 0.9834
Se 0.7737 0.2904 0.0166
Se 0.2263 0.7096 0.4527
Se 0.7570 0.7096 0.9834
Se 0.7415 0.7243 0.4830
Th 0.5000 0.5000 0.5000
Th 0.0000 0.5000 0.5000
Th 0.5000 0.5000 0.0000
K 0.5000 0.0000 0.0000
K 0.0000 0.0000 0.0000
K 0.5000 0.0000 0.5000
K 0.0000 0.0000 0.5000
Hf 0.0000 0.5000 0.0000



# 19
The following is a DFT calculation (GGA-PBE) of crystalline La2BeBiC at its relaxed geometry.

## Properties
Formation energy = 272 meV per atom
DOS(E_F) = 3.0 states/eV/f.u.
E = -5.07 eV/atom
Offset from the most stable computed form = 630 meV/atom

Cell: 5.1677 4.8196 5.1677 Å, 90.00 90.00 90.00°
Atoms (fractional coordinates):
La 0.5000 0.0000 0.0000
La 0.0000 0.0000 0.5000
C 0.0000 0.0000 0.0000
Bi 0.0000 0.5000 0.0000
Be 0.5000 0.5000 0.5000



# 20
The following is a DFT calculation (GGA-PBE) of crystalline ScTe2IN at its relaxed geometry.

## Properties
DOS(E_F) = 4.8 states/eV/f.u.
E = -4.29 eV/atom
Offset from the most stable computed form = 0 meV/atom
Uncorrected formation energy = 0.210 eV per atom

Cell: 5.8328 5.8328 4.0551 Å, 90.00 90.00 90.00°
Atoms (fractional coordinates):
N 0.0000 0.0000 0.5000
Sc 0.0000 0.0000 0.0000
Te 0.0000 0.5000 0.0000
Te 0.5000 0.0000 0.0000
I 0.5000 0.5000 0.5000



# 21
The following is a DFT calculation (GGA-PBE) of crystalline TaNb2Cr4 at its relaxed geometry.

## Properties
Formation energy = 1346 meV per atom
DOS(E_F) = 6.5 states/eV/f.u.
E = -8.72 eV/atom

Cell: 4.5091 4.5091 7.4480 Å, 72.38 72.38 90.00°
Atoms (fractional coordinates):
Cr 0.8100 0.8100 0.3801
Cr 0.1900 0.1900 0.6199
Cr 0.5000 0.0000 0.0000
Cr 0.0000 0.5000 0.0000
Nb 0.3923 0.3923 0.2153
Nb 0.6077 0.6077 0.7847
Ta 0.0000 0.0000 0.0000



# 22
The following is a DFT calculation (GGA-PBE) of crystalline AlCdPd at its relaxed geometry.

## Properties
Formation energy = -380 meV per atom
DOS(E_F) = 0.8 states/eV/f.u.
E = -3.66 eV/atom
Offset from the most stable computed form = 49 meV/atom

Cell: 4.4403 4.4403 6.9995 Å, 71.51 71.51 60.00°
Atoms (fractional coordinates):
Al 0.7098 0.7098 0.8707
Al 0.2902 0.2902 0.1293
Pd 0.4159 0.4159 0.7523
Pd 0.5841 0.5841 0.2477
Cd 0.8686 0.8686 0.3942
Cd 0.1314 0.1314 0.6058